PmSmTlRu | PBE | optimized geometry

Output
Offset from the most stable computed form, meV/atom: 132
Formation energy, kcal/mol of atoms: -4.1
D(E_F), states/eV/cell: 2.40
Space group: No. 216
Final energy, eV/atom: -5.46

Structure (extended XYZ):
```
4
Lattice="0.000 3.678 3.678 3.678 0.000 3.678 3.678 3.678 0.000" Properties=species:S:1:pos:R:3 pbc="T T T"
Pm 0.000 0.000 0.000
Sm 3.678 3.678 3.678
Tl 5.517 5.517 5.517
Ru 1.839 1.839 1.839
```

=====

YTaTe | PBE | optimized geometry

Output
Offset from the most stable computed form, meV/atom: 0
Formation energy without anion corrections, meV per atom: -161
D(E_F), states/eV/cell: 3.04
Space group: No. 107
Final energy, eV/atom: -7.31

Structure (extended XYZ):
```
3
Lattice="-1.799 1.799 5.572 1.799 -1.799 5.572 1.799 1.799 -5.572" Properties=species:S:1:pos:R:3 pbc="T T T"
Y 0.000 0.000 0.000
Ta 0.000 0.000 7.635
Te 0.000 0.000 3.341
```